No. 1
# ZnPt2Se

A geometry-optimized ZnPt2Se structure (GGA-PBEsol, the Alexandria database).

Properties
raw total energy: -19.802 eV/cell
crystal system: orthorhombic
energy relative to the elements, uncorrected: -0.11 eV/atom

```
data_ZnPt2Se
_chemical_formula_sum 'Zn1 Pt2 Se1'
_symmetry_space_group_name_H-M 'P m m m'
_symmetry_Int_Tables_number 47
_cell_length_a 2.8895
_cell_length_b 3.3486
_cell_length_c 6.3144
_cell_angle_alpha 90.00
_cell_angle_beta 90.00
_cell_angle_gamma 90.00
loop_
_symmetry_equiv_pos_as_xyz
'x,y,z'
'-x,-y,-z'
'-x,-y,z'
'x,y,-z'
'x,-y,-z'
'-x,y,z'
'-x,y,-z'
'x,-y,z'
loop_
_atom_site_label
_atom_site_type_symbol
_atom_site_fract_x
_atom_site_fract_y
_atom_site_fract_z
_atom_site_occupancy
Zn1 Zn 0.0000 0.0000 0.0000 1
Pt1 Pt 0.5000 0.5000 0.2306 1
Se1 Se 0.0000 0.0000 0.5000 1
```



No. 2
# ZnPt2Se

A geometry-optimized ZnPt2Se structure (GGA-PBEsol, the Alexandria database).

Properties
raw total energy: -59.372 eV/cell
crystal system: trigonal
energy relative to the elements, uncorrected: -0.11 eV/atom

```
data_ZnPt2Se
_chemical_formula_sum 'Zn3 Pt6 Se3'
_symmetry_space_group_name_H-M 'R -3 m'
_symmetry_Int_Tables_number 166
_symmetry_space_group_name_Hall '-R 3 2"'
_cell_length_a 2.9397
_cell_length_b 2.9397
_cell_length_c 24.6471
_cell_angle_alpha 90.00
_cell_angle_beta 90.00
_cell_angle_gamma 120.00
loop_
_atom_site_label
_atom_site_type_symbol
_atom_site_fract_x
_atom_site_fract_y
_atom_site_fract_z
_atom_site_occupancy
Zn1 Zn 0.0000 0.0000 0.0000 1
Pt1 Pt 0.0000 0.0000 0.2524 1
Se1 Se 0.0000 0.0000 0.5000 1
```



No. 3
# ZnPt2Se

A geometry-optimized ZnPt2Se structure (GGA-PBEsol, the Alexandria database).

Properties
raw total energy: -39.577 eV/cell
crystal system: monoclinic
energy relative to the elements, uncorrected: -0.11 eV/atom

```
data_ZnPt2Se
_chemical_formula_sum 'Zn2 Pt4 Se2'
_symmetry_space_group_name_H-M 'C 1 m 1'
_symmetry_Int_Tables_number 8
_cell_length_a 9.7161
_cell_length_b 2.9117
_cell_length_c 4.4281
_cell_angle_alpha 90.00
_cell_angle_beta 94.51
_cell_angle_gamma 90.00
loop_
_symmetry_equiv_pos_as_xyz
'x,y,z'
'x,-y,z'
'x+1/2,y+1/2,z'
'x+1/2,-y+1/2,z'
loop_
_atom_site_label
_atom_site_type_symbol
_atom_site_fract_x
_atom_site_fract_y
_atom_site_fract_z
_atom_site_occupancy
Zn1 Zn 0.0000 0.0000 0.0000 1
Pt1 Pt 0.2294 0.5000 0.1750 1
Pt2 Pt 0.4805 0.0000 0.4886 1
Se1 Se 0.2470 0.0000 0.6669 1
```



No. 4
# Zr2ZnPtSe

A geometry-optimized Zr2ZnPtSe structure (GGA-PBEsol, the Alexandria database).

Properties
raw total energy: -29.733 eV/cell
crystal system: tetragonal
energy relative to the elements, uncorrected: 0.17 eV/atom

```
data_Zr2ZnPtSe
_chemical_formula_sum 'Zr2 Zn1 Pt1 Se1'
_symmetry_space_group_name_H-M 'P 4/m m m'
_symmetry_Int_Tables_number 123
_symmetry_space_group_name_Hall '-P 4 2'
_cell_length_a 4.8867
_cell_length_b 4.8867
_cell_length_c 4.4103
_cell_angle_alpha 90.00
_cell_angle_beta 90.00
_cell_angle_gamma 90.00
loop_
_atom_site_label
_atom_site_type_symbol
_atom_site_fract_x
_atom_site_fract_y
_atom_site_fract_z
_atom_site_occupancy
Zr1 Zr 0.0000 0.5000 0.0000 1
Zn1 Zn 0.0000 0.0000 0.5000 1
Pt1 Pt 0.5000 0.5000 0.5000 1
Se1 Se 0.0000 0.0000 0.0000 1
```



No. 5
# ZrZnPtSe2

A geometry-optimized ZrZnPtSe2 structure (GGA-PBEsol, the Alexandria database).

Properties
raw total energy: -24.256 eV/cell
crystal system: tetragonal
energy relative to the elements, uncorrected: 0.22 eV/atom

```
data_ZrZnPtSe2
_chemical_formula_sum 'Zr1 Zn1 Pt1 Se2'
_symmetry_space_group_name_H-M 'P 4/m m m'
_symmetry_Int_Tables_number 123
_symmetry_space_group_name_Hall '-P 4 2'
_cell_length_a 4.6862
_cell_length_b 4.6862
_cell_length_c 4.6253
_cell_angle_alpha 90.00
_cell_angle_beta 90.00
_cell_angle_gamma 90.00
loop_
_atom_site_label
_atom_site_type_symbol
_atom_site_fract_x
_atom_site_fract_y
_atom_site_fract_z
_atom_site_occupancy
Zr1 Zr 0.0000 0.0000 0.0000 1
Zn1 Zn 0.5000 0.5000 0.5000 1
Pt1 Pt 0.5000 0.5000 0.0000 1
Se1 Se 0.0000 0.5000 0.5000 1
```



No. 6
# ZrZn2PtSe

A geometry-optimized ZrZn2PtSe structure (GGA-PBEsol, the Alexandria database).

Properties
raw total energy: -23.571 eV/cell
crystal system: tetragonal
energy relative to the elements, uncorrected: -0.10 eV/atom

```
data_ZrZn2PtSe
_chemical_formula_sum 'Zr1 Zn2 Pt1 Se1'
_symmetry_space_group_name_H-M 'P 4/m m m'
_symmetry_Int_Tables_number 123
_symmetry_space_group_name_Hall '-P 4 2'
_cell_length_a 4.6644
_cell_length_b 4.6644
_cell_length_c 5.0658
_cell_angle_alpha 90.00
_cell_angle_beta 90.00
_cell_angle_gamma 90.00
loop_
_atom_site_label
_atom_site_type_symbol
_atom_site_fract_x
_atom_site_fract_y
_atom_site_fract_z
_atom_site_occupancy
Zr1 Zr 0.0000 0.0000 0.0000 1
Zn1 Zn 0.0000 0.5000 0.5000 1
Pt1 Pt 0.0000 0.0000 0.5000 1
Se1 Se 0.5000 0.5000 0.0000 1
```



| no. | density of states at the Fermi level (states/eV/f.u.) |
| --- | --- |
| 1 | 1.613 |
| 2 | 2.084 |
| 3 | 1.023 |
| 4 | 5.323 |
| 5 | 2.377 |
| 6 | 2.366 |